First-principles (PBE) data for a relaxed structure of SmSc4Cu5, as listed in Alexandria.

As for the energy of formation: -0.252 eV per atom.

The space group is P4/mmm (No. 123) and the conventional cell measures 3.2881, 3.2881 and 16.8075 Å, with angles of 90.00, 90.00 and 90.00 degrees. The distinct sites, in fractional coordinates, are Sm at (0.0000, 0.0000, 0.0000), Sc at (0.0000, 0.0000, 0.2099), Sc at (0.0000, 0.0000, 0.4035), Cu at (0.5000, 0.5000, 0.1203), Cu at (0.5000, 0.5000, 0.3057) and Cu at (0.5000, 0.5000, 0.5000).